14
Lattice="3.854 0.000 0.000 -1.927 6.708 0.000 0.000 0.000 13.339" Properties=species:S:1:pos:R:3 comment="PBE Ce2DyS4, optimized geometry" final_energy_ev_per_atom=-6.667 magmom_total_mub_per_fu=2.324 dos_ef_per_ev_cell=25.23 formation_energy_uncorrected_ev_per_atom=-1.956 rho_g_cm3=5.50 pbc="T T T"
S 0.000 2.952 8.353
Ce 1.927 4.935 12.392
S 1.927 6.418 10.005
Dy 0.000 5.028 3.335
Ce 1.927 4.935 7.617
S 1.927 3.755 1.684
Ce 0.000 1.772 5.722
S 1.927 3.755 4.986
S 1.927 0.000 6.670
S 0.000 2.952 11.656
S 0.000 0.289 3.335
Ce 0.000 1.772 0.947
Dy 1.927 1.680 10.005
S 1.927 0.000 0.000